# 1
# YHoC4, optimized geometry, DFT PBE
data_YHoC4
_chemical_formula_sum 'Y1 Ho1 C4'
_cell_length_a 4.0343
_cell_length_b 4.0343
_cell_length_c 5.2054
_cell_angle_alpha 90.00
_cell_angle_beta 90.00
_cell_angle_gamma 100.07
_symmetry_space_group_name_H-M 'P 1'
_symmetry_Int_Tables_number 1
loop_
_symmetry_equiv_pos_as_xyz
'x,y,z'
loop_
_atom_site_label
_atom_site_fract_x
_atom_site_fract_y
_atom_site_fract_z
C1 0.8945 0.1055 0.5000
C2 0.3947 0.6053 0.0000
C3 0.6053 0.3947 0.0000
C4 0.1055 0.8945 0.5000
Y1 0.0000 0.0000 0.0000
Ho1 0.5000 0.5000 0.5000
# - Energy relative to the elements: -0.18 eV/atom
# - Symmetry: Cmmm
# - Energy above the lowest structure with this stoichiometry: 0.004 eV per atom
# - Uncorrected energy: -8.174 eV per atom

# 2
# Y12HoC7, optimized geometry, DFT PBE
data_Y12HoC7
_chemical_formula_sum 'Y12 Ho1 C7'
_cell_length_a 8.1433
_cell_length_b 8.1433
_cell_length_c 8.1433
_cell_angle_alpha 107.68
_cell_angle_beta 107.68
_cell_angle_gamma 107.68
_symmetry_space_group_name_H-M 'P 1'
_symmetry_Int_Tables_number 1
loop_
_symmetry_equiv_pos_as_xyz
'x,y,z'
loop_
_atom_site_label
_atom_site_fract_x
_atom_site_fract_y
_atom_site_fract_z
C1 0.8845 0.9595 0.6469
C2 0.1155 0.0405 0.3531
C3 0.3531 0.1155 0.0405
C4 0.9595 0.6469 0.8845
C5 0.0405 0.3531 0.1155
C6 0.5000 0.5000 0.5000
C7 0.6469 0.8845 0.9595
Y1 0.8409 0.6260 0.5579
Y2 0.6908 0.2135 0.0702
Y3 0.0702 0.6908 0.2135
Y4 0.5579 0.8409 0.6260
Y5 0.6260 0.5579 0.8409
Y6 0.3740 0.4421 0.1591
Y7 0.1591 0.3740 0.4421
Y8 0.4421 0.1591 0.3740
Y9 0.9298 0.3092 0.7865
Y10 0.7865 0.9298 0.3092
Y11 0.2135 0.0702 0.6908
Y12 0.3092 0.7865 0.9298
Ho1 0.0000 0.0000 0.0000
# - Energy relative to the elements: -0.25 eV/atom
# - Symmetry: R-3
# - Uncorrected energy: -7.588 eV per atom

# 3
# YHo2C, optimized geometry, DFT PBE
data_YHo2C
_chemical_formula_sum 'Y1 Ho2 C1'
_cell_length_a 3.5263
_cell_length_b 3.5263
_cell_length_c 9.8056
_cell_angle_alpha 79.64
_cell_angle_beta 79.64
_cell_angle_gamma 60.00
_symmetry_space_group_name_H-M 'P 1'
_symmetry_Int_Tables_number 1
loop_
_symmetry_equiv_pos_as_xyz
'x,y,z'
loop_
_atom_site_label
_atom_site_fract_x
_atom_site_fract_y
_atom_site_fract_z
Y1 0.0000 0.0000 0.0000
Ho1 0.1203 0.1203 0.6391
Ho2 0.8797 0.8797 0.3609
C1 0.5000 0.5000 0.5000
# - Energy relative to the elements: -0.09 eV/atom
# - Symmetry: R-3m
# - Energy above the lowest structure with this stoichiometry: 0.107 eV per atom
# - Uncorrected energy: -6.301 eV per atom

# 4
# Y3HoC8, optimized geometry, DFT PBE
data_Y3HoC8
_chemical_formula_sum 'Y3 Ho1 C8'
_cell_length_a 5.1937
_cell_length_b 6.5960
_cell_length_c 6.1957
_cell_angle_alpha 62.06
_cell_angle_beta 89.83
_cell_angle_gamma 113.10
_symmetry_space_group_name_H-M 'P 1'
_symmetry_Int_Tables_number 1
loop_
_symmetry_equiv_pos_as_xyz
'x,y,z'
loop_
_atom_site_label
_atom_site_fract_x
_atom_site_fract_y
_atom_site_fract_z
Y1 0.6666 0.4999 0.8338
Y2 0.4167 0.0000 0.5830
Y3 0.1667 0.5001 0.3336
C1 0.9168 0.0000 0.6882
C2 0.1656 0.4976 0.9400
C3 0.6680 0.5024 0.4376
C4 0.1654 0.4976 0.7298
C5 0.4165 0.0000 0.9779
C6 0.4169 0.0000 0.1881
C7 0.6677 0.5024 0.2275
C8 0.9166 0.0000 0.4778
Ho1 0.9167 0.0000 0.0830
# - Energy relative to the elements: -0.19 eV/atom
# - Symmetry: C2/m
# - Uncorrected energy: -8.332 eV per atom

# 5
# Y3HoC8, optimized geometry, DFT PBE
data_Y3HoC8
_chemical_formula_sum 'Y3 Ho1 C8'
_cell_length_a 3.6772
_cell_length_b 3.6772
_cell_length_c 12.4054
_cell_angle_alpha 90.00
_cell_angle_beta 90.00
_cell_angle_gamma 90.00
_symmetry_space_group_name_H-M 'P 1'
_symmetry_Int_Tables_number 1
loop_
_symmetry_equiv_pos_as_xyz
'x,y,z'
loop_
_atom_site_label
_atom_site_fract_x
_atom_site_fract_y
_atom_site_fract_z
Y1 0.5000 0.5000 0.7502
Y2 0.5000 0.5000 0.2498
Y3 0.0000 0.0000 0.5000
C1 0.5000 0.5000 0.9475
C2 0.0000 0.0000 0.3018
C3 0.5000 0.5000 0.0525
C4 0.5000 0.5000 0.5525
C5 0.0000 0.0000 0.1968
C6 0.5000 0.5000 0.4475
C7 0.0000 0.0000 0.6982
C8 0.0000 0.0000 0.8032
Ho1 0.0000 0.0000 0.0000
# - Energy relative to the elements: -0.19 eV/atom
# - Symmetry: P4/mmm
# - Uncorrected energy: -8.334 eV per atom

# 6
# Y3HoC2, optimized geometry, DFT PBE
data_Y3HoC2
_chemical_formula_sum 'Y6 Ho2 C4'
_cell_length_a 6.2396
_cell_length_b 7.1785
_cell_length_c 7.1785
_cell_angle_alpha 120.00
_cell_angle_beta 90.00
_cell_angle_gamma 90.00
_symmetry_space_group_name_H-M 'P 1'
_symmetry_Int_Tables_number 1
loop_
_symmetry_equiv_pos_as_xyz
'x,y,z'
loop_
_atom_site_label
_atom_site_fract_x
_atom_site_fract_y
_atom_site_fract_z
Y1 0.2172 0.8335 0.6670
Y2 0.2172 0.8335 0.1665
Y3 0.2172 0.3330 0.1665
Y4 0.7828 0.1665 0.8335
Y5 0.7828 0.1665 0.3330
Y6 0.7828 0.6670 0.8335
C1 0.0000 0.5000 0.5000
C2 0.0000 0.0000 0.5000
C3 0.0000 0.0000 0.0000
C4 0.0000 0.5000 0.0000
Ho1 0.7879 0.6667 0.3333
Ho2 0.2121 0.3333 0.6667
# - Energy relative to the elements: -0.27 eV/atom
# - Symmetry: P-3m1
# - Uncorrected energy: -7.340 eV per atom

# 7
# YHoC4, optimized geometry, DFT PBE
data_YHoC4
_chemical_formula_sum 'Y1 Ho1 C4'
_cell_length_a 3.6676
_cell_length_b 3.6676
_cell_length_c 6.1947
_cell_angle_alpha 90.00
_cell_angle_beta 90.00
_cell_angle_gamma 90.00
_symmetry_space_group_name_H-M 'P 1'
_symmetry_Int_Tables_number 1
loop_
_symmetry_equiv_pos_as_xyz
'x,y,z'
loop_
_atom_site_label
_atom_site_fract_x
_atom_site_fract_y
_atom_site_fract_z
C1 0.0000 0.0000 0.3949
C2 0.5000 0.5000 0.8948
C3 0.5000 0.5000 0.1052
C4 0.0000 0.0000 0.6051
Y1 0.0000 0.0000 0.0000
Ho1 0.5000 0.5000 0.5000
# - Energy relative to the elements: -0.19 eV/atom
# - Symmetry: P4/mmm
# - Energy above the lowest structure with this stoichiometry: 0.000 eV per atom
# - Uncorrected energy: -8.178 eV per atom

# 8
# Y2Ho4C, optimized geometry, DFT PBE
data_Y2Ho4C
_chemical_formula_sum 'Y2 Ho4 C1'
_cell_length_a 4.8252
_cell_length_b 4.8252
_cell_length_c 9.5107
_cell_angle_alpha 75.31
_cell_angle_beta 75.31
_cell_angle_gamma 90.00
_symmetry_space_group_name_H-M 'P 1'
_symmetry_Int_Tables_number 1
loop_
_symmetry_equiv_pos_as_xyz
'x,y,z'
loop_
_atom_site_label
_atom_site_fract_x
_atom_site_fract_y
_atom_site_fract_z
Y1 0.6734 0.6734 0.6532
Y2 0.3266 0.3266 0.3468
C1 0.0000 0.0000 0.0000
Ho1 0.8667 0.8667 0.2665
Ho2 0.5000 0.0000 0.0000
Ho3 0.0000 0.5000 0.0000
Ho4 0.1333 0.1333 0.7335
# - Energy relative to the elements: 0.11 eV/atom
# - Symmetry: I4/mmm
# - Uncorrected energy: -5.666 eV per atom

The records above give, respectively, total magnetization values of 0.000, 0.001, 0.144, 0.000, 0.000, 0.105, 0.000, 0.000 μB per atom.